Record 1
TlH3W at its PBEsol-relaxed geometry, computed with SCAN.

Calculated values
E = -148.971 eV for the cell shown
magnetic moment = 0.00 Bohr magnetons per cell

Lattice parameters (Å, degrees): 3.6633 3.6633 3.6633 90.00 90.00 90.00
Space group Pm-3m (No. 221)
Symmetry-distinct sites (fractional):
Tl 0.0000 0.0000 0.0000 x1
H 0.0000 0.5000 0.5000 x3
W 0.5000 0.5000 0.5000 x1

---

Record 2
Mn2CrSi at its PBEsol-relaxed geometry, computed with SCAN.

Calculated values
raw formation energy = -0.2559 eV/atom
magnetic moment = 0.00 Bohr magnetons per cell

Lattice parameters (Å, degrees): 2.7813 2.7813 5.4866 90.00 90.00 90.00
Space group P4/mmm (No. 123)
Symmetry-distinct sites (fractional):
Mn 0.0000 0.0000 0.2489 x2
Cr 0.5000 0.5000 0.0000 x1
Si 0.5000 0.5000 0.5000 x1

---

Record 3
LiBe2Fe at its PBEsol-relaxed geometry, computed with SCAN.

Calculated values
E = -113.167 eV for the cell shown
magnetic moment = 9.62 Bohr magnetons per cell

Lattice parameters (Å, degrees): 5.2665 5.2665 5.2665 90.00 90.00 90.00
Space group F-43m (No. 216)
Symmetry-distinct sites (fractional):
Li 0.0000 0.0000 0.0000 x4
Be 0.0000 0.0000 0.5000 x4
Be 0.2500 0.2500 0.2500 x4
Fe 0.2500 0.2500 0.7500 x4

---

Record 4
NaUO3 at its PBEsol-relaxed geometry, computed with SCAN.

Calculated values
raw formation energy = -3.0570 eV/atom
magnetic moment = 4.00 Bohr magnetons per cell

Lattice parameters (Å, degrees): 5.8922 8.2501 5.7529 90.00 90.00 90.00
Space group Pnma (No. 62)
Symmetry-distinct sites (fractional):
Na 0.0328 0.2500 0.0064 x4
U 0.0000 0.0000 0.5000 x4
O 0.0336 0.7500 0.4039 x4
O 0.2010 0.5503 0.8016 x8

---

Record 5
BaTl2Ru at its PBEsol-relaxed geometry, computed with SCAN.

Calculated values
E = -217.232 eV for the cell shown
magnetic moment = 1.34 Bohr magnetons per cell

Lattice parameters (Å, degrees): 4.4651 4.4651 5.1595 90.00 90.00 90.00
Space group P4/mmm (No. 123)
Symmetry-distinct sites (fractional):
Ba 0.0000 0.0000 0.0000 x1
Tl 0.0000 0.5000 0.5000 x2
Ru 0.5000 0.5000 0.0000 x1

---

Record 6
CrTc2Ru at its PBEsol-relaxed geometry, computed with SCAN.

Calculated values
E = -245.652 eV for the cell shown
magnetic moment = 0.00 Bohr magnetons per cell

Lattice parameters (Å, degrees): 3.7357 3.7357 7.5854 90.00 90.00 90.00
Space group I4/mmm (No. 139)
Symmetry-distinct sites (fractional):
Cr 0.0000 0.0000 0.0000 x2
Tc 0.0000 0.5000 0.2500 x4
Ru 0.0000 0.0000 0.5000 x2

---

Record 7
TmSiPt at its PBEsol-relaxed geometry, computed with SCAN.

Calculated values
raw formation energy = -1.4114 eV/atom
magnetic moment = 0.00 Bohr magnetons per cell

Lattice parameters (Å, degrees): 6.8161 4.2254 7.3343 90.00 90.00 90.00
Space group Pnma (No. 62)
Symmetry-distinct sites (fractional):
Tm 0.0034 0.2500 0.1997 x4
Si 0.1865 0.2500 0.5880 x4
Pt 0.2000 0.7500 0.4144 x4

---

Record 8
Ta2TcBAs at its PBEsol-relaxed geometry, computed with SCAN.

Calculated values
E = -186.472 eV for the cell shown
magnetic moment = 0.00 Bohr magnetons per cell

Lattice parameters (Å, degrees): 4.6450 4.6450 4.3998 90.00 90.00 90.00
Space group P4/mmm (No. 123)
Symmetry-distinct sites (fractional):
Ta 0.0000 0.5000 0.0000 x2
Tc 0.0000 0.0000 0.5000 x1
B 0.5000 0.5000 0.5000 x1
As 0.0000 0.0000 0.0000 x1

---

Record 9
BaZrCr2 at its PBEsol-relaxed geometry, computed with SCAN.

Calculated values
E = -104.116 eV for the cell shown
magnetic moment = 0.00 Bohr magnetons per cell

Lattice parameters (Å, degrees): 3.6485 3.6485 6.8142 90.00 90.00 90.00
Space group P4/mmm (No. 123)
Symmetry-distinct sites (fractional):
Ba 0.0000 0.0000 0.0000 x1
Zr 0.0000 0.0000 0.5000 x1
Cr 0.5000 0.5000 0.3579 x2

---

Record 10
CoP2Pd at its PBEsol-relaxed geometry, computed with SCAN.

Calculated values
E = -285.566 eV for the cell shown
magnetic moment = 0.00 Bohr magnetons per cell

Lattice parameters (Å, degrees): 5.3642 5.3642 9.0980 90.00 90.00 90.00
Space group I-42d (No. 122)
Symmetry-distinct sites (fractional):
Co 0.0000 0.0000 0.0000 x4
P 0.2181 0.2500 0.1250 x8
Pd 0.0000 0.0000 0.5000 x4

---

Record 11
CrIn2Si at its PBEsol-relaxed geometry, computed with SCAN.

Calculated values
raw formation energy = 0.3259 eV/atom
magnetic moment = 3.80 Bohr magnetons per cell

Lattice parameters (Å, degrees): 4.1762 4.1762 4.2368 90.00 90.00 90.00
Space group P4/mmm (No. 123)
Symmetry-distinct sites (fractional):
Cr 0.0000 0.0000 0.0000 x1
In 0.0000 0.5000 0.5000 x2
Si 0.5000 0.5000 0.0000 x1

---

Record 12
MgZn2Pb at its PBEsol-relaxed geometry, computed with SCAN.

Calculated values
E = -107.331 eV for the cell shown
magnetic moment = 0.00 Bohr magnetons per cell

Lattice parameters (Å, degrees): 5.0674 3.3088 5.1676 90.00 110.04 90.00
Space group P2/m (No. 10)
Symmetry-distinct sites (fractional):
Mg 0.0000 0.0000 0.0000 x1
Zn 0.5000 0.0000 0.5000 x1
Zn 0.5000 0.5000 0.0000 x1
Pb 0.0000 0.5000 0.5000 x1